No. 1
VASP calculation (PBE-GGA) on a geometry-optimized Cs2RbNdBr6 structure.

density of states at the Fermi level: 0.000 states/eV/atom
total moment: 0.00 μB per formula unit
energy relative to the elements, uncorrected: -18.668 eV per formula unit
SG: P2_1/c, No. 14

abc: 8.4247 8.8756 12.0723
angles: 90.00 89.35 90.00
Fractional positions:
Br  0.6751  0.2721  0.5584
Br  0.8249  0.7721  0.9416
Br  0.3249  0.7279  0.4416
Br  0.3965  0.9638  0.7289
Br  0.1751  0.2279  0.0584
Br  0.8965  0.5362  0.2289
Br  0.1035  0.4638  0.7711
Br  0.7785  0.8182  0.5472
Br  0.6035  0.0362  0.2711
Br  0.2785  0.6818  0.0472
Br  0.7215  0.3182  0.9528
Br  0.2215  0.1818  0.4528
Cs  0.4761  0.4320  0.2472
Cs  0.0239  0.9320  0.2528
Cs  0.5239  0.5680  0.7528
Cs  0.9761  0.0680  0.7472
Rb  0.5000  0.0000  0.0000
Rb  0.0000  0.5000  0.5000
Nd  0.0000  0.5000  0.0000
Nd  0.5000  0.0000  0.5000

No. 2
VASP calculation (PBE-GGA) on a geometry-optimized Cs2NdSe2Br2 structure.

density of states at the Fermi level: 1.317 states/eV/atom
total moment: 0.30 μB per formula unit
energy relative to the elements, uncorrected: -10.741 eV per formula unit
SG: I4/mmm, No. 139

abc: 5.6994 5.6994 10.1959
angles: 106.23 106.23 90.00
Fractional positions:
Se  0.5000  0.0000  0.0000
Se  0.0000  0.5000  0.0000
Br  0.8400  0.8400  0.6800
Br  0.1600  0.1600  0.3200
Nd  0.0000  0.0000  0.0000
Cs  0.3556  0.3556  0.7112
Cs  0.6444  0.6444  0.2888

No. 3
VASP calculation (PBE-GGA) on a geometry-optimized Cs2NdSnBr6 structure.

total moment: 1.00 μB per formula unit
energy relative to the elements, uncorrected: -14.670 eV per formula unit
SG: Pmmn, No. 59

abc: 8.2029 8.4869 13.0751
angles: 90.00 90.00 90.00
Fractional positions:
Br  0.7648  0.4080  0.5000
Br  0.2604  0.8962  0.5000
Br  0.2396  0.1038  0.0000
Br  0.0000  0.6795  0.7199
Br  0.5000  0.3205  0.7801
Br  0.2352  0.4080  0.5000
Br  0.0000  0.6795  0.2801
Br  0.5000  0.3205  0.2199
Br  0.7396  0.8962  0.5000
Br  0.7352  0.5920  0.0000
Br  0.7604  0.1038  0.0000
Br  0.2648  0.5920  0.0000
Nd  0.5000  0.3347  0.0000
Nd  0.0000  0.6653  0.5000
Sn  0.5000  0.1673  0.5000
Sn  0.0000  0.8327  0.0000
Cs  0.5000  0.7450  0.7417
Cs  0.0000  0.2550  0.2417
Cs  0.0000  0.2550  0.7583
Cs  0.5000  0.7450  0.2583

No. 4
VASP calculation (PBE-GGA) on a geometry-optimized CsSr2NdBr8 structure.

density of states at the Fermi level: 0.000 states/eV/atom
total moment: 0.00 μB per formula unit
energy relative to the elements, uncorrected: -23.444 eV per formula unit
SG: P-1, No. 2

abc: 7.2876 7.0699 9.7437
angles: 89.94 89.97 89.68
Fractional positions:
Br  0.3962  0.2657  0.5002
Br  0.3263  0.2565  0.0002
Br  0.1608  0.7566  0.2064
Br  0.6038  0.7343  0.4998
Br  0.1616  0.7573  0.7939
Br  0.6737  0.7435  0.9998
Br  0.8392  0.2434  0.7936
Br  0.8384  0.2427  0.2061
Cs  0.0000  0.0000  0.5000
Sr  0.5001  0.4999  0.7491
Sr  0.4999  0.5001  0.2509
Nd  0.0000  0.0000  0.0000

No. 5
VASP calculation (PBE-GGA) on a geometry-optimized CsNdTeBr2 structure.

total moment: 0.00 μB per formula unit
energy relative to the elements, uncorrected: -8.353 eV per formula unit
SG: Cmcm, No. 63

abc: 4.5937 10.2929 9.0622
angles: 90.00 90.00 102.89
Fractional positions:
Te  0.4937  0.9875  0.2500
Te  0.5063  0.0125  0.7500
Br  0.1434  0.2868  0.0167
Br  0.1434  0.2868  0.4833
Br  0.8566  0.7132  0.9833
Br  0.8566  0.7132  0.5167
Cs  0.2919  0.5838  0.2500
Cs  0.7081  0.4162  0.7500
Nd  0.0000  0.0000  0.0000
Nd  0.0000  0.0000  0.5000

No. 6
VASP calculation (PBE-GGA) on a geometry-optimized Cs2NdTe2Br2 structure.

density of states at the Fermi level: 1.165 states/eV/atom
total moment: 0.00 μB per formula unit
energy relative to the elements, uncorrected: -9.722 eV per formula unit
SG: I4/mmm, No. 139

abc: 6.0994 6.0994 10.2730
angles: 107.27 107.27 90.00
Fractional positions:
Br  0.8403  0.8403  0.6805
Br  0.1597  0.1597  0.3195
Te  0.0000  0.5000  0.0000
Te  0.5000  0.0000  0.0000
Cs  0.3524  0.3524  0.7047
Cs  0.6476  0.6476  0.2953
Nd  0.0000  0.0000  0.0000

No. 7
VASP calculation (PBE-GGA) on a geometry-optimized CsNdTl2Br6 structure.

density of states at the Fermi level: 0.000 states/eV/atom
total moment: 0.00 μB per formula unit
energy relative to the elements, uncorrected: -14.750 eV per formula unit
SG: R3, No. 146

abc: 8.3730 8.3738 8.7879
angles: 61.56 61.57 60.00
Fractional positions:
Br  0.5604  0.2326  0.2353
Br  0.6927  0.1558  0.7701
Br  0.9716  0.5605  0.2353
Br  0.1561  0.3812  0.7699
Br  0.2324  0.9718  0.2356
Br  0.3813  0.6927  0.7700
Tl  0.0104  0.0104  0.9690
Tl  0.5236  0.5235  0.4295
Nd  0.3242  0.3242  0.0274
Cs  0.8089  0.8089  0.5732

No. 8
VASP calculation (PBE-GGA) on a geometry-optimized Cs3NdTl2Br9 structure.

density of states at the Fermi level: 0.225 states/eV/atom
total moment: 0.00 μB per formula unit
energy relative to the elements, uncorrected: -21.833 eV per formula unit
SG: P-3m1, No. 164

abc: 8.5122 8.5122 10.4379
angles: 90.00 90.00 120.00
Fractional positions:
Cs  0.3333  0.6667  0.6778
Cs  0.6667  0.3333  0.3222
Cs  0.0000  0.0000  0.0000
Br  0.6778  0.8389  0.3424
Br  0.5000  0.0000  0.0000
Br  0.8389  0.1611  0.6576
Br  0.1611  0.3222  0.3424
Br  0.5000  0.5000  0.0000
Br  0.3222  0.1611  0.6576
Br  0.1611  0.8389  0.3424
Br  0.8389  0.6778  0.6576
Br  0.0000  0.5000  0.0000
Nd  0.0000  0.0000  0.5000
Tl  0.6667  0.3333  0.8444
Tl  0.3333  0.6667  0.1556